Below is Tl6PtAu2 after structural relaxation, with properties calculated at the GGA-PBE level.

```
data_Tl6PtAu2
_symmetry_space_group_name_H-M 'P -1'
_symmetry_Int_Tables_number 2
_cell_length_a 4.897
_cell_length_b 6.894
_cell_length_c 8.423
_cell_angle_alpha 65.90
_cell_angle_beta 73.76
_cell_angle_gamma 89.97
loop_
_symmetry_equiv_pos_as_xyz
'x,y,z'
'-x,-y,-z'
loop_
_atom_site_label
_atom_site_type_symbol
_atom_site_fract_x
_atom_site_fract_y
_atom_site_fract_z
Tl1 Tl 0.000 0.239 0.000
Tl2 Tl 0.338 0.083 0.325
Tl3 Tl 0.340 0.592 0.325
Pt1 Pt 0.500 0.000 0.000
Au1 Au 0.164 0.666 0.668
```

Final energy (eV/cell): -27.4
Density (g cm⁻³): 12.20
Size of the total moment (μB per cell): 0.00
Energy relative to the elements (eV/f.u.): -0.577
Volume (Å³/atom): 27.451


Below is KRb2ClO after structural relaxation, with properties calculated at the GGA-PBE level.

```
data_KRb2ClO
_symmetry_space_group_name_H-M 'P 4/m m m'
_symmetry_Int_Tables_number 123
_symmetry_space_group_name_Hall '-P 4 2'
_cell_length_a 5.542
_cell_length_b 5.542
_cell_length_c 5.203
_cell_angle_alpha 90.00
_cell_angle_beta 90.00
_cell_angle_gamma 90.00
loop_
_atom_site_label
_atom_site_type_symbol
_atom_site_fract_x
_atom_site_fract_y
_atom_site_fract_z
K1 K 0.000 0.000 0.000
Rb1 Rb 0.000 0.500 0.500
Cl1 Cl 0.500 0.500 0.000
O1 O 0.000 0.000 0.500
```

Final energy (eV/cell): -16.5
Energy relative to the lowest polymorph listed for this composition (kJ/mol of formula units): 15.7
Formation energy from raw total energies (kJ/mol of formula units): -639.7
Density (g cm⁻³): 2.72
Size of the total moment (μB per cell): 0.00
Volume (Å³/atom): 31.964


Below is La2MoW after structural relaxation, with properties calculated at the GGA-PBE level.

```
data_La2MoW
_symmetry_space_group_name_H-M 'I -4 2 d'
_symmetry_Int_Tables_number 122
_symmetry_space_group_name_Hall 'I -4 2bw'
_cell_length_a 8.087
_cell_length_b 8.087
_cell_length_c 5.841
_cell_angle_alpha 90.00
_cell_angle_beta 90.00
_cell_angle_gamma 90.00
loop_
_atom_site_label
_atom_site_type_symbol
_atom_site_fract_x
_atom_site_fract_y
_atom_site_fract_z
La1 La 0.245 0.250 0.125
Mo1 Mo 0.000 0.000 0.000
W1 W 0.000 0.000 0.500
```

Final energy (eV/cell): -114.9
Energy relative to the lowest polymorph listed for this composition (kJ/mol of formula units): 360.7
Density (g cm⁻³): 9.69
Size of the total moment (μB per cell): 3.97
Energy relative to the elements (eV/f.u.): 4.905
Volume (Å³/atom): 23.877


Below is Ho5Tl2Te after structural relaxation, with properties calculated at the GGA-PBE level.

```
data_Ho5Tl2Te
_symmetry_space_group_name_H-M 'C 1 m 1'
_symmetry_Int_Tables_number 8
_cell_length_a 8.137
_cell_length_b 9.839
_cell_length_c 6.846
_cell_angle_alpha 90.00
_cell_angle_beta 121.47
_cell_angle_gamma 90.00
loop_
_symmetry_equiv_pos_as_xyz
'x,y,z'
'x,-y,z'
'x+1/2,y+1/2,z'
'x+1/2,-y+1/2,z'
loop_
_atom_site_label
_atom_site_type_symbol
_atom_site_fract_x
_atom_site_fract_y
_atom_site_fract_z
Ho1 Ho 0.000 0.000 0.000
Ho2 Ho 0.031 0.500 0.555
Ho3 Ho 0.315 0.302 0.465
Ho4 Ho 0.449 0.000 0.004
Tl1 Tl 0.206 0.268 0.943
Te1 Te 0.135 0.000 0.496
```

Final energy (eV/cell): -67.6
Energy relative to the lowest polymorph listed for this composition (kJ/mol of formula units): 90.9
Formation energy from raw total energies (kJ/mol of formula units): -291.1
Density (g cm⁻³): 9.67
Size of the total moment (μB per cell): 0.00
Volume (Å³/atom): 29.218


Below is TePb3Br4 after structural relaxation, with properties calculated at the GGA-PBE level.

```
data_TePb3Br4
_symmetry_space_group_name_H-M 'C 1 c 1'
_symmetry_Int_Tables_number 9
_cell_length_a 15.755
_cell_length_b 7.792
_cell_length_c 11.107
_cell_angle_alpha 90.00
_cell_angle_beta 111.23
_cell_angle_gamma 90.00
loop_
_symmetry_equiv_pos_as_xyz
'x,y,z'
'x,-y,z+1/2'
'x+1/2,y+1/2,z'
'x+1/2,-y+1/2,z+1/2'
loop_
_atom_site_label
_atom_site_type_symbol
_atom_site_fract_x
_atom_site_fract_y
_atom_site_fract_z
Te1 Te 0.000 0.184 0.000
Pb1 Pb 0.066 0.493 0.895
Pb2 Pb 0.185 0.006 0.099
Pb3 Pb 0.327 0.491 0.328
Br1 Br 0.104 0.326 0.653
Br2 Br 0.208 0.177 0.358
Br3 Br 0.277 0.346 0.050
Br4 Br 0.387 0.158 0.780
```

Final energy (eV/cell): -107.0
Formation energy from raw total energies (kJ/mol of formula units): -558.0
Density (g cm⁻³): 5.59
Size of the total moment (μB per cell): 0.00
Volume (Å³/atom): 39.715


Below is AlBi2Te2 after structural relaxation, with properties calculated at the GGA-PBE level.

```
data_AlBi2Te2
_symmetry_space_group_name_H-M 'P 4/m b m'
_symmetry_Int_Tables_number 127
_symmetry_space_group_name_Hall '-P 4 2ab'
_cell_length_a 8.072
_cell_length_b 8.072
_cell_length_c 4.737
_cell_angle_alpha 90.00
_cell_angle_beta 90.00
_cell_angle_gamma 90.00
loop_
_atom_site_label
_atom_site_type_symbol
_atom_site_fract_x
_atom_site_fract_y
_atom_site_fract_z
Al1 Al 0.000 0.000 0.000
Bi1 Bi 0.143 0.357 0.500
Te1 Te 0.171 0.671 0.000
```

Final energy (eV/cell): -33.8
Formation energy from raw total energies (kJ/mol of formula units): 85.5
Density (g cm⁻³): 7.53
Size of the total moment (μB per cell): 0.00
Volume (Å³/atom): 30.871


Below is Tm6P2CSe3 after structural relaxation, with properties calculated at the GGA-PBE level.

```
data_Tm6P2CSe3
_symmetry_space_group_name_H-M 'C 1 2/m 1'
_symmetry_Int_Tables_number 12
_cell_length_a 17.250
_cell_length_b 3.870
_cell_length_c 7.965
_cell_angle_alpha 90.00
_cell_angle_beta 104.58
_cell_angle_gamma 90.00
loop_
_symmetry_equiv_pos_as_xyz
'x,y,z'
'-x,-y,-z'
'-x,y,-z'
'x,-y,z'
'x+1/2,y+1/2,z'
'-x+1/2,-y+1/2,-z'
'-x+1/2,y+1/2,-z'
'x+1/2,-y+1/2,z'
loop_
_atom_site_label
_atom_site_type_symbol
_atom_site_fract_x
_atom_site_fract_y
_atom_site_fract_z
Tm1 Tm 0.002 0.000 0.211
Tm2 Tm 0.147 0.500 0.083
Tm3 Tm 0.169 0.500 0.572
P1 P 0.166 0.000 0.331
C1 C 0.000 0.500 0.000
Se1 Se 0.000 0.500 0.500
Se2 Se 0.170 0.000 0.836
```

Final energy (eV/cell): -152.0
Formation energy from raw total energies (kJ/mol of formula units): -1803.7
Density (g cm⁻³): 8.55
Size of the total moment (μB per cell): 0.00
Volume (Å³/atom): 21.440


Below is Pm4CoAsCl2 after structural relaxation, with properties calculated at the GGA-PBE level.

```
data_Pm4CoAsCl2
_symmetry_space_group_name_H-M 'P 1 2/m 1'
_symmetry_Int_Tables_number 10
_cell_length_a 7.441
_cell_length_b 3.980
_cell_length_c 7.444
_cell_angle_alpha 90.00
_cell_angle_beta 107.76
_cell_angle_gamma 90.00
loop_
_symmetry_equiv_pos_as_xyz
'x,y,z'
'-x,-y,-z'
'-x,y,-z'
'x,-y,z'
loop_
_atom_site_label
_atom_site_type_symbol
_atom_site_fract_x
_atom_site_fract_y
_atom_site_fract_z
Pm1 Pm 0.210 0.000 0.202
Pm2 Pm 0.245 0.500 0.781
Co1 Co 0.000 0.500 0.000
As1 As 0.500 0.000 0.000
Cl1 Cl 0.000 0.000 0.500
Cl2 Cl 0.500 0.500 0.500
```

Final energy (eV/cell): -43.7
Formation energy from raw total energies (kJ/mol of formula units): -887.9
Density (g cm⁻³): 6.21
Size of the total moment (μB per cell): 0.00
Volume (Å³/atom): 26.247


Question: Which value of final energy does entry 8 give?
Answer: -43.7 eV/cell


Question: Which value of density does entry 4 give?
Answer: 9.67 g cm⁻³